# 1
Below is a geometry-optimized CuPb2Cl structure, with properties calculated at the GGA-PBE level.

As for the raw formation energy: -87 meV per atom. The energy above the lowest structure with this stoichiometry is 80 meV/atom.

It has space group C2/m (No. 12), with a = 8.256 Å, b = 7.983 Å, c = 3.300 Å, α = 90.00°, β = 111.99° and γ = 90.00°. The distinct sites, in fractional coordinates, are Cu at (0.000, 0.000, 0.000), Pb at (0.250, 0.250, 0.500) and Cl at (0.000, 0.500, 0.000).

***

# 2
Below is a geometry-optimized CuPb2Cl structure, with properties calculated at the GGA-PBE level.

As for the raw formation energy: 206 meV per atom. The energy above the lowest structure with this stoichiometry is 373 meV/atom.

It has space group F-43m (No. 216), with a = 7.373 Å, b = 7.373 Å, c = 7.373 Å, α = 90.00°, β = 90.00° and γ = 90.00°. The distinct sites, in fractional coordinates, are Cu at (0.000, 0.000, 0.000), Pb at (0.000, 0.000, 0.500), Pb at (0.250, 0.250, 0.750) and Cl at (0.250, 0.250, 0.250).

***

# 3
Below is a geometry-optimized Cu2PbCl structure, with properties calculated at the GGA-PBE level.

As for the raw formation energy: 443 meV per atom. The energy above the lowest structure with this stoichiometry is 521 meV/atom.

It has space group Fm-3m (No. 225), with a = 6.845 Å, b = 6.845 Å, c = 6.845 Å, α = 90.00°, β = 90.00° and γ = 90.00°. The distinct sites, in fractional coordinates, are Cu at (0.250, 0.250, 0.250), Pb at (0.000, 0.000, 0.000) and Cl at (0.000, 0.000, 0.500).

***

# 4
Below is a geometry-optimized CuPb2Cl structure, with properties calculated at the GGA-PBE level.

As for the raw formation energy: -167 meV per atom. The energy above the lowest structure with this stoichiometry is 0 meV/atom.

It has space group C2/m (No. 12), with a = 6.702 Å, b = 3.854 Å, c = 8.384 Å, α = 90.00°, β = 105.32° and γ = 90.00°. The distinct sites, in fractional coordinates, are Cu at (0.000, 0.000, 0.000), Pb at (0.238, 0.500, 0.215) and Cl at (0.000, 0.500, 0.500).

***

# 5
Below is a geometry-optimized Cu2PbCl structure, with properties calculated at the GGA-PBE level.

As for the raw formation energy: 128 meV per atom. The energy above the lowest structure with this stoichiometry is 206 meV/atom.

It has space group I-42d (No. 122), with a = 6.455 Å, b = 6.455 Å, c = 8.607 Å, α = 90.00°, β = 90.00° and γ = 90.00°. The distinct sites, in fractional coordinates, are Cu at (0.213, 0.250, 0.125), Pb at (0.000, 0.000, 0.500) and Cl at (0.000, 0.000, 0.000).

***

# 6
Below is a geometry-optimized Cu2Pb2Cl7 structure, with properties calculated at the GGA-PBE level.

As for the raw formation energy: -823 meV per atom.

It has space group C2/m (No. 12), with a = 9.093 Å, b = 11.498 Å, c = 6.457 Å, α = 90.00°, β = 99.35° and γ = 90.00°. The distinct sites, in fractional coordinates, are Cu at (0.231, 0.000, 0.415), Pb at (0.000, 0.304, 0.000), Cl at (0.000, 0.000, 0.500), Cl at (0.113, 0.500, 0.253) and Cl at (0.243, 0.329, 0.756).

***

# 7
Below is a geometry-optimized CuPb2Cl6 structure, with properties calculated at the GGA-PBE level.

As for the raw formation energy: -922 meV per atom. The energy above the lowest structure with this stoichiometry is 0 meV/atom.

It has space group P2_1/c (No. 14), with a = 6.546 Å, b = 8.122 Å, c = 11.056 Å, α = 90.00°, β = 123.87° and γ = 90.00°. The distinct sites, in fractional coordinates, are Cu at (0.000, 0.000, 0.000), Pb at (0.247, 0.107, 0.721), Cl at (0.118, 0.033, 0.237), Cl at (0.216, 0.665, 0.052) and Cl at (0.351, 0.139, 0.054).

***

# 8
Below is a geometry-optimized CuPb2Cl structure, with properties calculated at the GGA-PBE level.

As for the raw formation energy: 0 meV per atom. The energy above the lowest structure with this stoichiometry is 167 meV/atom.

It has space group Pmmm (No. 47), with a = 3.459 Å, b = 4.773 Å, c = 6.316 Å, α = 90.00°, β = 90.00° and γ = 90.00°. The distinct sites, in fractional coordinates, are Cu at (0.000, 0.000, 0.000), Pb at (0.000, 0.500, 0.500), Pb at (0.500, 0.500, 0.000) and Cl at (0.500, 0.000, 0.500).